Record 1
Below is an optimized crystal structure of Te2OsW, with properties calculated at the PBE level. Values from VASP.

Cell and atoms, written as Quantum ESPRESSO input:
```
&SYSTEM
  ibrav = 0, nat = 4, ntyp = 3
/
ATOMIC_SPECIES
Os 190.23 Os.upf
Te 127.60 Te.upf
W 183.84 W.upf
ATOMIC_POSITIONS crystal
Os 0.500 0.974 0.684
Te 0.000 0.856 0.922
Te 0.500 0.139 0.341
W 0.000 0.532 0.553
CELL_PARAMETERS angstrom
3.922 0.000 0.000
0.000 3.021 0.134
0.000 1.025 7.987
```

Results
Calculated total energy in eV/f.u.: -28.986
ρ in Mg/m³: 11.1
DOS at the Fermi energy in states/eV/atom: 0.851
Crystal system: monoclinic
Energy above the most stable polymorph in this dataset in eV/f.u.: 0.00
Formation energy (no corrections) in eV per atom: 0.3701


Record 2
Below is an optimized crystal structure of Te2OsW, with properties calculated at the PBE level. Values from VASP.

Cell and atoms, written as Quantum ESPRESSO input:
```
&SYSTEM
  ibrav = 0, nat = 4, ntyp = 3
/
ATOMIC_SPECIES
Os 190.23 Os.upf
Te 127.60 Te.upf
W 183.84 W.upf
ATOMIC_POSITIONS crystal
Os 0.678 0.178 0.500
Te 0.979 0.979 0.000
Te 0.268 0.768 0.500
W 0.575 0.575 0.000
CELL_PARAMETERS angstrom
-3.265 -7.825 -2.999
1.016 -8.841 -1.297
0.327 7.881 4.321
```

Results
Calculated total energy in eV/f.u.: -28.022
ρ in Mg/m³: 10.8
DOS at the Fermi energy in states/eV/atom: 0.698
Crystal system: orthorhombic
Energy above the most stable polymorph in this dataset in eV/f.u.: 0.96
Formation energy (no corrections) in eV per atom: 0.6110